--- i ---
Here is crystalline TlCrNi2 at its relaxed geometry from Alexandria. Energies are from PBEsol.

Output
**DOS(E_F)**: 4.33 states/eV/f.u.

Unit cell a=4.260 b=4.260 c=4.260 alpha=60.00 beta=60.00 gamma=60.00
Fractional positions:
Tl 0.000 0.000 0.000
Cr 0.500 0.500 0.500
Ni 0.250 0.250 0.250
Ni 0.750 0.750 0.750

***

--- ii ---
Here is crystalline TlCrNi2 at its relaxed geometry from Alexandria. Energies are from PBEsol.

Output
**DOS(E_F)**: 4.56 states/eV/f.u.

Unit cell a=8.235 b=8.235 c=8.235 alpha=19.94 beta=19.94 gamma=19.94
Fractional positions:
Tl 0.000 0.000 0.000
Cr 0.500 0.500 0.500
Ni 0.240 0.240 0.240
Ni 0.760 0.760 0.760

***

Result of the stability comparison: i is the most stable of them.

***

--- i ---
Here is crystalline YCr2Ni at its relaxed geometry from Alexandria. Energies are from PBEsol.

Output
**DOS(E_F)**: 3.74 states/eV/f.u.

Unit cell a=8.133 b=8.133 c=8.133 alpha=20.83 beta=20.83 gamma=20.83
Fractional positions:
Y 0.000 0.000 0.000
Cr 0.498 0.498 0.498
Cr 0.770 0.770 0.770
Ni 0.239 0.239 0.239

***

--- ii ---
Here is crystalline YCr2Ni at its relaxed geometry from Alexandria. Energies are from PBEsol.

Output
**DOS(E_F)**: 6.30 states/eV/f.u.

Unit cell a=3.050 b=4.533 c=4.594 alpha=90.00 beta=101.13 gamma=90.00
Fractional positions:
Y 0.000 0.000 0.000
Cr 0.320 0.500 0.669
Cr 0.680 0.500 0.331
Ni 0.500 0.000 0.500

***

Result of the stability comparison: ii is the most stable of them.

***

--- i ---
Here is crystalline CrO3 at its relaxed geometry from Alexandria. Energies are from PBEsol.

Output
**DOS(E_F)**: 0.00 states/eV/f.u.

Unit cell a=5.736 b=5.027 c=5.027 alpha=123.41 beta=90.00 gamma=90.00
Fractional positions:
Cr 0.250 0.094 0.906
Cr 0.750 0.906 0.094
O 0.000 0.114 0.114
O 0.250 0.380 0.860
O 0.250 0.771 0.569
O 0.500 0.114 0.114
O 0.750 0.569 0.771
O 0.750 0.860 0.380

***

--- ii ---
Here is crystalline CrO3 at its relaxed geometry from Alexandria. Energies are from PBEsol.

Output
**DOS(E_F)**: 2.00 states/eV/f.u.

Unit cell a=3.573 b=3.573 c=3.573 alpha=90.00 beta=90.00 gamma=90.00
Fractional positions:
Cr 0.000 0.000 0.000
O 0.000 0.000 0.500
O 0.000 0.500 0.000
O 0.500 0.000 0.000

***

--- iii ---
Here is crystalline CrO3 at its relaxed geometry from Alexandria. Energies are from PBEsol.

Unit cell a=5.683 b=7.861 c=5.307 alpha=90.00 beta=90.00 gamma=90.00
Fractional positions:
Cr 0.238 0.250 0.070
Cr 0.262 0.750 0.570
Cr 0.738 0.250 0.430
Cr 0.762 0.750 0.930
O 0.017 0.250 0.292
O 0.213 0.088 0.896
O 0.213 0.412 0.896
O 0.287 0.588 0.396
O 0.287 0.912 0.396
O 0.483 0.750 0.792
O 0.517 0.250 0.208
O 0.713 0.088 0.604
O 0.713 0.412 0.604
O 0.787 0.588 0.104
O 0.787 0.912 0.104
O 0.983 0.750 0.708

***

--- iv ---
Here is crystalline CrO3 at its relaxed geometry from Alexandria. Energies are from PBEsol.

Output
**DOS(E_F)**: 0.00 states/eV/f.u.

Unit cell a=6.848 b=6.848 c=5.748 alpha=104.93 beta=104.93 gamma=84.24
Fractional positions:
Cr 0.130 0.306 0.237
Cr 0.306 0.130 0.737
Cr 0.694 0.870 0.263
Cr 0.870 0.694 0.763
O 0.089 0.591 0.802
O 0.155 0.159 0.451
O 0.159 0.155 0.951
O 0.290 0.476 0.338
O 0.409 0.911 0.698
O 0.476 0.290 0.838
O 0.524 0.710 0.162
O 0.591 0.089 0.302
O 0.710 0.524 0.662
O 0.841 0.845 0.049
O 0.845 0.841 0.549
O 0.911 0.409 0.198

***

Result of the stability comparison: i is the most stable of them.

***

--- i ---
Here is crystalline CrP3O9 at its relaxed geometry from Alexandria. Energies are from PBEsol.

Output
**DOS(E_F)**: 0.00 states/eV/f.u.

Unit cell a=11.531 b=11.531 c=9.369 alpha=109.90 beta=109.90 gamma=110.98
Fractional positions:
Cr 0.080 0.920 0.500
Cr 0.226 0.736 0.969
Cr 0.414 0.591 0.504
Cr 0.591 0.414 0.004
Cr 0.736 0.226 0.469
Cr 0.920 0.080 0.000
P 0.157 0.552 0.158
P 0.213 0.488 0.657
P 0.248 0.282 0.773
P 0.263 0.990 0.309
P 0.282 0.248 0.273
P 0.321 0.928 0.803
P 0.488 0.213 0.157
P 0.552 0.157 0.658
P 0.567 0.935 0.755
P 0.578 0.873 0.212
P 0.617 0.670 0.337
P 0.670 0.617 0.837
P 0.836 0.900 0.182
P 0.873 0.578 0.712
P 0.900 0.836 0.682
P 0.928 0.321 0.303
P 0.935 0.567 0.255
P 0.990 0.263 0.809
O 0.018 0.659 0.880
O 0.029 0.407 0.970
O 0.032 0.926 0.683
O 0.064 0.606 0.219
O 0.071 0.362 0.467
O 0.133 0.176 0.117
O 0.133 0.912 0.320
O 0.149 0.296 0.854
O 0.172 0.548 0.788
O 0.176 0.133 0.617
O 0.222 0.799 0.799
O 0.236 0.518 0.284
O 0.248 0.667 0.134
O 0.258 0.917 0.140
O 0.260 0.932 0.636
O 0.271 0.392 0.704
O 0.296 0.149 0.354
O 0.320 0.596 0.642
O 0.346 0.390 0.436
O 0.362 0.071 0.967
O 0.390 0.346 0.936
O 0.392 0.271 0.204
O 0.407 0.029 0.470
O 0.434 0.822 0.062
O 0.474 0.793 0.578
O 0.477 0.950 0.851
O 0.510 0.578 0.368
O 0.518 0.236 0.784
O 0.548 0.172 0.288
O 0.553 0.752 0.263
O 0.578 0.510 0.868
O 0.594 0.658 0.717
O 0.596 0.320 0.142
O 0.606 0.064 0.719
O 0.658 0.594 0.217
O 0.659 0.018 0.380
O 0.667 0.248 0.634
O 0.675 0.865 0.125
O 0.709 0.970 0.891
O 0.752 0.553 0.763
O 0.759 0.805 0.523
O 0.793 0.474 0.078
O 0.799 0.222 0.299
O 0.805 0.759 0.023
O 0.822 0.434 0.562
O 0.865 0.675 0.625
O 0.900 0.904 0.354
O 0.904 0.900 0.854
O 0.912 0.133 0.820
O 0.917 0.258 0.640
O 0.926 0.032 0.183
O 0.932 0.260 0.136
O 0.950 0.477 0.351
O 0.970 0.709 0.391

***

--- ii ---
Here is crystalline CrP3O9 at its relaxed geometry from Alexandria. Energies are from PBEsol.

Output
**DOS(E_F)**: 0.00 states/eV/f.u.

Unit cell a=6.236 b=15.286 c=8.333 alpha=90.00 beta=105.78 gamma=90.00
Fractional positions:
Cr 0.117 0.137 0.376
Cr 0.117 0.363 0.876
Cr 0.883 0.637 0.124
Cr 0.883 0.863 0.624
P 0.148 0.044 0.719
P 0.148 0.456 0.219
P 0.205 0.161 0.016
P 0.205 0.339 0.516
P 0.413 0.613 0.209
P 0.413 0.887 0.709
P 0.587 0.113 0.291
P 0.587 0.387 0.791
P 0.795 0.661 0.484
P 0.795 0.839 0.984
P 0.852 0.544 0.781
P 0.852 0.956 0.281
O 0.055 0.012 0.341
O 0.055 0.488 0.841
O 0.065 0.153 0.135
O 0.065 0.347 0.635
O 0.158 0.075 0.904
O 0.158 0.425 0.404
O 0.170 0.123 0.617
O 0.170 0.377 0.117
O 0.180 0.238 0.903
O 0.180 0.262 0.403
O 0.197 0.660 0.144
O 0.197 0.840 0.644
O 0.371 0.513 0.253
O 0.371 0.987 0.753
O 0.432 0.114 0.400
O 0.432 0.386 0.900
O 0.465 0.152 0.111
O 0.465 0.348 0.611
O 0.535 0.652 0.389
O 0.535 0.848 0.889
O 0.568 0.614 0.100
O 0.568 0.886 0.600
O 0.629 0.013 0.247
O 0.629 0.487 0.747
O 0.803 0.160 0.356
O 0.803 0.340 0.856
O 0.820 0.738 0.597
O 0.820 0.762 0.097
O 0.830 0.623 0.883
O 0.830 0.877 0.383
O 0.842 0.575 0.596
O 0.842 0.925 0.096
O 0.935 0.653 0.365
O 0.935 0.847 0.865
O 0.945 0.512 0.159
O 0.945 0.988 0.659

***

--- iii ---
Here is crystalline CrP3O9 at its relaxed geometry from Alexandria. Energies are from PBEsol.

Output
**DOS(E_F)**: 0.00 states/eV/f.u.

Unit cell a=6.524 b=6.524 c=9.548 alpha=90.00 beta=90.00 gamma=120.00
Fractional positions:
Cr 0.000 0.000 0.000
Cr 0.000 0.000 0.500
P 0.377 0.110 0.250
P 0.377 0.267 0.750
P 0.733 0.110 0.750
P 0.733 0.623 0.250
P 0.890 0.267 0.250
P 0.890 0.623 0.750
O 0.249 0.005 0.116
O 0.249 0.005 0.384
O 0.249 0.245 0.616
O 0.249 0.245 0.884
O 0.479 0.088 0.750
O 0.479 0.390 0.250
O 0.610 0.088 0.250
O 0.610 0.521 0.750
O 0.755 0.005 0.616
O 0.755 0.005 0.884
O 0.755 0.751 0.116
O 0.755 0.751 0.384
O 0.912 0.390 0.750
O 0.912 0.521 0.250
O 0.995 0.245 0.116
O 0.995 0.245 0.384
O 0.995 0.751 0.616
O 0.995 0.751 0.884

***

--- iv ---
Here is crystalline CrP3O9 at its relaxed geometry from Alexandria. Energies are from PBEsol.

Unit cell a=8.304 b=8.371 c=8.974 alpha=90.00 beta=90.00 gamma=90.00
Fractional positions:
Cr 0.125 0.098 0.136
Cr 0.375 0.902 0.636
Cr 0.625 0.402 0.864
Cr 0.875 0.598 0.364
P 0.067 0.729 0.082
P 0.072 0.948 0.832
P 0.216 0.562 0.555
P 0.284 0.438 0.055
P 0.428 0.052 0.332
P 0.433 0.271 0.582
P 0.567 0.771 0.918
P 0.572 0.552 0.168
P 0.716 0.938 0.445
P 0.784 0.062 0.945
P 0.928 0.448 0.668
P 0.933 0.229 0.418
O 0.016 0.789 0.919
O 0.069 0.139 0.348
O 0.101 0.529 0.698
O 0.110 0.594 0.422
O 0.134 0.867 0.169
O 0.142 0.903 0.684
O 0.151 0.327 0.098
O 0.172 0.055 0.930
O 0.207 0.610 0.032
O 0.293 0.390 0.532
O 0.328 0.945 0.430
O 0.349 0.673 0.598
O 0.358 0.097 0.184
O 0.366 0.133 0.669
O 0.390 0.406 0.922
O 0.399 0.471 0.198
O 0.431 0.861 0.848
O 0.484 0.211 0.419
O 0.516 0.711 0.081
O 0.569 0.361 0.652
O 0.601 0.971 0.302
O 0.610 0.906 0.578
O 0.634 0.633 0.831
O 0.642 0.597 0.316
O 0.651 0.173 0.902
O 0.672 0.445 0.070
O 0.707 0.890 0.968
O 0.793 0.110 0.468
O 0.828 0.555 0.570
O 0.849 0.827 0.402
O 0.858 0.403 0.816
O 0.866 0.367 0.331
O 0.890 0.094 0.078
O 0.899 0.029 0.802
O 0.931 0.639 0.152
O 0.984 0.289 0.581

***

Result of the stability comparison: ii is the most stable of them.

***

--- i ---
Here is crystalline CrP2O7 at its relaxed geometry from Alexandria. Energies are from PBEsol.

Output
**DOS(E_F)**: 4.67 states/eV/f.u.

Unit cell a=6.746 b=7.835 c=9.240 alpha=90.00 beta=108.37 gamma=90.00
Fractional positions:
Cr 0.221 0.228 0.007
Cr 0.221 0.272 0.507
Cr 0.779 0.728 0.493
Cr 0.779 0.772 0.993
P 0.033 0.592 0.295
P 0.033 0.908 0.795
P 0.435 0.032 0.795
P 0.435 0.468 0.295
P 0.565 0.532 0.705
P 0.565 0.968 0.205
P 0.967 0.092 0.205
P 0.967 0.408 0.705
O 0.018 0.238 0.111
O 0.018 0.262 0.611
O 0.031 0.081 0.870
O 0.031 0.419 0.370
O 0.106 0.094 0.371
O 0.106 0.406 0.871
O 0.269 0.618 0.293
O 0.269 0.882 0.793
O 0.353 0.054 0.153
O 0.353 0.446 0.653
O 0.391 0.104 0.635
O 0.391 0.396 0.135
O 0.415 0.173 0.906
O 0.415 0.327 0.406
O 0.585 0.673 0.594
O 0.585 0.827 0.094
O 0.609 0.604 0.865
O 0.609 0.896 0.365
O 0.647 0.554 0.347
O 0.647 0.946 0.847
O 0.731 0.118 0.207
O 0.731 0.382 0.707
O 0.894 0.594 0.129
O 0.894 0.906 0.629
O 0.969 0.581 0.630
O 0.969 0.919 0.130
O 0.982 0.738 0.389
O 0.982 0.762 0.889

***

--- ii ---
Here is crystalline CrP2O7 at its relaxed geometry from Alexandria. Energies are from PBEsol.

Output
**DOS(E_F)**: 4.53 states/eV/f.u.

Unit cell a=4.751 b=7.826 c=6.898 alpha=90.00 beta=105.58 gamma=90.00
Fractional positions:
Cr 0.219 0.000 0.230
Cr 0.781 0.500 0.770
P 0.236 0.737 0.609
P 0.388 0.315 0.003
P 0.612 0.815 0.997
P 0.764 0.237 0.391
O 0.032 0.184 0.324
O 0.140 0.444 0.952
O 0.145 0.843 0.419
O 0.284 0.132 0.017
O 0.417 0.820 0.141
O 0.422 0.867 0.776
O 0.430 0.582 0.596
O 0.570 0.082 0.404
O 0.578 0.367 0.224
O 0.583 0.320 0.859
O 0.716 0.632 0.983
O 0.855 0.343 0.581
O 0.860 0.944 0.048
O 0.968 0.684 0.676

***

Result of the stability comparison: ii is the most stable of them.